# 1
## AcHfAs (GGA-PBE)

Data for a geometry-optimized AcHfAs structure.

abc: 6.9908 6.9908 6.9908
angles: 90.00 90.00 90.00
Last column: nearest neighbours and their distance in Å.
Positions (direct):
Ac (0.0000, 0.0000, 0.0000)  4 As 3.03
Ac (0.0000, 0.5000, 0.5000)  4 As 3.03
Ac (0.5000, 0.0000, 0.5000)  4 As 3.03
Ac (0.5000, 0.5000, 0.0000)  4 As 3.03
Hf (0.0000, 0.0000, 0.5000)  4 As 3.03
Hf (0.0000, 0.5000, 0.0000)  4 As 3.03
Hf (0.5000, 0.0000, 0.0000)  4 As 3.03
Hf (0.5000, 0.5000, 0.5000)  4 As 3.03
As (0.2500, 0.2500, 0.2500)  4 Hf 3.03, 4 Ac 3.03
As (0.2500, 0.7500, 0.7500)  4 Hf 3.03, 4 Ac 3.03
As (0.7500, 0.2500, 0.7500)  4 Hf 3.03, 4 Ac 3.03
As (0.7500, 0.7500, 0.2500)  4 Hf 3.03, 4 Ac 3.03

Output
Calculated density (g cm⁻³): 9.34
Magnetization (μB/f.u.): 0.1
Relative energy among the computed polymorphs (kJ per mole of atoms): 0.0
E_tot (eV per atom): -6.36

# 2
## UGe2Ir (GGA-PBE)

Data for a geometry-optimized UGe2Ir structure.

abc: 9.3866 9.3866 9.3866
angles: 153.25 124.25 62.89
Last column: nearest neighbours and their distance in Å.
Positions (direct):
U (0.2043, 0.2043, 0.0000)  8 Ge 2.99-3.05, 6 Ir 3.23-3.24
U (0.2344, 0.0000, 0.2344)  4 Ir 3.20, 10 Ge 3.23-3.41
U (0.7656, 0.0000, 0.7656)  4 Ir 3.20, 10 Ge 3.23-3.41
U (0.7957, 0.7957, 0.0000)  8 Ge 2.99-3.05, 6 Ir 3.23-3.24
Ge (0.0756, 0.5756, 0.5000)  1 Ge 2.42, 2 Ir 2.47
Ge (0.1485, 0.8013, 0.3472)  3 Ir 2.48-2.63, 1 Ge 2.68
Ge (0.4247, 0.4247, 0.0000)  1 Ge 2.41, 2 Ir 2.47
Ge (0.4541, 0.8013, 0.6528)  3 Ir 2.48-2.63, 1 Ge 2.68
Ge (0.5459, 0.1987, 0.3472)  3 Ir 2.48-2.63, 1 Ge 2.68
Ge (0.5753, 0.5753, 0.0000)  1 Ge 2.41, 2 Ir 2.47
Ge (0.8515, 0.1987, 0.6528)  3 Ir 2.48-2.63, 1 Ge 2.68
Ge (0.9244, 0.4244, 0.5000)  1 Ge 2.42, 2 Ir 2.47
Ir (0.1043, 0.3537, 0.7506)  5 Ge 2.47-2.63
Ir (0.3969, 0.6463, 0.7506)  5 Ge 2.47-2.63
Ir (0.6031, 0.3537, 0.2494)  5 Ge 2.47-2.63
Ir (0.8957, 0.6463, 0.2494)  5 Ge 2.47-2.63

Output
Calculated density (g cm⁻³): 12.52
Magnetization (μB/f.u.): 2.0
E_tot (eV per atom): -7.79

# 3
## LiMg2Pd (GGA-PBE)

Data for a geometry-optimized LiMg2Pd structure.

abc: 4.5832 4.5832 8.0532
angles: 90.00 90.00 120.00
Last column: nearest neighbours and their distance in Å.
Positions (direct):
Li (0.0000, 0.0000, 0.0000)  6 Mg 2.74
Li (0.0000, 0.0000, 0.5000)  6 Mg 2.74
Mg (0.3333, 0.6667, 0.0864)  1 Mg 2.64, 1 Pd 2.71, 3 Li 2.74
Mg (0.3333, 0.6667, 0.4136)  1 Mg 2.64, 1 Pd 2.71, 3 Li 2.74
Mg (0.6667, 0.3333, 0.5864)  1 Mg 2.64, 1 Pd 2.71, 3 Li 2.74
Mg (0.6667, 0.3333, 0.9136)  1 Mg 2.64, 1 Pd 2.71, 3 Li 2.74
Pd (0.3333, 0.6667, 0.7500)  8 Mg 2.71-2.96
Pd (0.6667, 0.3333, 0.2500)  8 Mg 2.71-2.96

Output
Calculated density (g cm⁻³): 3.67
Relative energy among the computed polymorphs (kJ per mole of atoms): 25.0
E_tot (eV per atom): -2.76

# 4
## HfZn2Sn2 (GGA-PBE)

Data for a geometry-optimized HfZn2Sn2 structure.

abc: 4.4102 4.4102 6.5515
angles: 90.00 90.00 120.00
Last column: nearest neighbours and their distance in Å.
Positions (direct):
Hf (0.0000, 0.0000, 0.0000)  6 Zn 2.87
Zn (0.3333, 0.6667, 0.2015)  3 Sn 2.64, 3 Hf 2.87
Zn (0.6667, 0.3333, 0.7985)  3 Sn 2.64, 3 Hf 2.87
Sn (0.3333, 0.6667, 0.6906)  3 Zn 2.64
Sn (0.6667, 0.3333, 0.3094)  3 Zn 2.64

Output
Calculated density (g cm⁻³): 8.23
Magnetization (μB/f.u.): 0.0
Relative energy among the computed polymorphs (kJ per mole of atoms): 0.0
E_tot (eV per atom): -4.09

Number 4 is which compound?
HfZn2Sn2

Number 3 is which compound?
LiMg2Pd

Which value of calculated density does entry 2 give?
12.52 g cm⁻³

What did the second record say?
## UGe2Ir (GGA-PBE)

Data for a geometry-optimized UGe2Ir structure.

abc: 9.3866 9.3866 9.3866
angles: 153.25 124.25 62.89
Last column: nearest neighbours and their distance in Å.
Positions (direct):
U (0.2043, 0.2043, 0.0000)  8 Ge 2.99-3.05, 6 Ir 3.23-3.24
U (0.2344, 0.0000, 0.2344)  4 Ir 3.20, 10 Ge 3.23-3.41
U (0.7656, 0.0000, 0.7656)  4 Ir 3.20, 10 Ge 3.23-3.41
U (0.7957, 0.7957, 0.0000)  8 Ge 2.99-3.05, 6 Ir 3.23-3.24
Ge (0.0756, 0.5756, 0.5000)  1 Ge 2.42, 2 Ir 2.47
Ge (0.1485, 0.8013, 0.3472)  3 Ir 2.48-2.63, 1 Ge 2.68
Ge (0.4247, 0.4247, 0.0000)  1 Ge 2.41, 2 Ir 2.47
Ge (0.4541, 0.8013, 0.6528)  3 Ir 2.48-2.63, 1 Ge 2.68
Ge (0.5459, 0.1987, 0.3472)  3 Ir 2.48-2.63, 1 Ge 2.68
Ge (0.5753, 0.5753, 0.0000)  1 Ge 2.41, 2 Ir 2.47
Ge (0.8515, 0.1987, 0.6528)  3 Ir 2.48-2.63, 1 Ge 2.68
Ge (0.9244, 0.4244, 0.5000)  1 Ge 2.42, 2 Ir 2.47
Ir (0.1043, 0.3537, 0.7506)  5 Ge 2.47-2.63
Ir (0.3969, 0.6463, 0.7506)  5 Ge 2.47-2.63
Ir (0.6031, 0.3537, 0.2494)  5 Ge 2.47-2.63
Ir (0.8957, 0.6463, 0.2494)  5 Ge 2.47-2.63

Output
Calculated density (g cm⁻³): 12.52
Magnetization (μB/f.u.): 2.0
E_tot (eV per atom): -7.79